# 1
Density functional theory data (GGA-PBE) for crystalline Co3TcBi at its relaxed geometry. Values from VASP.

Structure (Quantum ESPRESSO input):
```
&SYSTEM
  ibrav = 0, nat = 5, ntyp = 3
/
ATOMIC_SPECIES
Co 58.93 Co.upf
Bi 208.98 Bi.upf
Tc 98.00 Tc.upf
ATOMIC_POSITIONS crystal
Co 0.000 0.500 0.000
Co 0.000 0.000 0.500
Co 0.500 0.000 0.000
Bi 0.000 0.000 0.000
Tc 0.500 0.500 0.500
CELL_PARAMETERS angstrom
-0.136 4.443 -1.476
-4.298 -0.704 -1.722
-1.856 1.305 4.098
```

Output
- total energy (eV/atom) = -5.19
- volume (Å³/atom) = 20.55
- space-group type = No. 221
- magnetization (μB/atom) = 1.46
- D(E_F) (states/eV/f.u.) = 2.84

=====

# 2
Density functional theory data (GGA-PBE) for crystalline TiCoTcBi2 at its relaxed geometry. Values from VASP.

Structure (Quantum ESPRESSO input):
```
&SYSTEM
  ibrav = 0, nat = 5, ntyp = 4
/
ATOMIC_SPECIES
Ti 47.87 Ti.upf
Co 58.93 Co.upf
Bi 208.98 Bi.upf
Tc 98.00 Tc.upf
ATOMIC_POSITIONS crystal
Ti 0.000 0.500 0.000
Co 0.000 0.000 0.000
Bi 0.000 0.000 0.500
Bi 0.500 0.000 0.000
Tc 0.500 0.500 0.500
CELL_PARAMETERS angstrom
5.039 0.000 0.000
0.000 4.341 0.000
0.000 0.000 5.039
```

Output
- total energy (eV/atom) = -5.74
- volume (Å³/atom) = 22.05
- space-group type = No. 123
- magnetization (μB/atom) = 0.25
- D(E_F) (states/eV/f.u.) = 5.76

=====

# 3
Density functional theory data (GGA-PBE) for crystalline Co2BiTe2 at its relaxed geometry. Values from VASP.

Structure (Quantum ESPRESSO input):
```
&SYSTEM
  ibrav = 0, nat = 5, ntyp = 3
/
ATOMIC_SPECIES
Te 127.60 Te.upf
Co 58.93 Co.upf
Bi 208.98 Bi.upf
ATOMIC_POSITIONS crystal
Te 0.750 0.250 0.500
Te 0.250 0.750 0.500
Co 0.384 0.384 0.233
Co 0.616 0.616 0.767
Bi 0.000 0.000 0.000
CELL_PARAMETERS angstrom
-3.113 -1.697 2.597
3.006 -0.742 3.119
-0.991 3.663 4.923
```

Output
- volume (Å³/atom) = 20.79
- uncorrected formation energy (kJ/mol of atoms) = 39
- space-group type = No. 139
- magnetization (μB/atom) = 0.00
- D(E_F) (states/eV/f.u.) = 5.49